# Cd2MoRuPt

A relaxed structure of Cd2MoRuPt (PBE, Alexandria via LeMat-Bulk).

spin magnetization: 3.90 μB/cell
V: 123.2 Å³ per cell
density: 8.3 g cm⁻³
formation energy from the elements: 1.387 eV per atom

a b c (Å): 5.0727 4.7896 5.0727
angles (deg): 90.00 90.00 90.00
Site moments in Bohr magnetons follow the coordinates.
Fractional coordinates of all 5 atoms:
Cd 0.5000 0.0000 0.0000  -0.01
Mo 0.5000 0.5000 0.5000  3.49
Cd 0.0000 0.0000 0.5000  0.00
Pt 0.0000 0.0000 0.0000  0.05
Ru 0.0000 0.5000 0.0000  -0.39